# TbCeBeAl | Alexandria via LeMat-Bulk | PBE-GGA | relaxed
# - volume (Å³ per cell) = 355.88
# - DOS(E_F) (states/eV per cell) = 15.112
# - uncorrected energy (eV per atom) = -4.57
# - mass density (g/cm³) = 6.3
data_TbCeBeAl
_space_group_name_H-M_alt 'F -4 3 m'
_space_group_IT_number 216
_space_group_name_Hall 'F -4 2 3'
_cell_length_a 7.0865
_cell_length_b 7.0865
_cell_length_c 7.0865
_cell_angle_alpha 90.00
_cell_angle_beta 90.00
_cell_angle_gamma 90.00
loop_
_atom_site_label
_atom_site_type_symbol
_atom_site_fract_x
_atom_site_fract_y
_atom_site_fract_z
Tb1 Tb 0.0000 0.0000 0.0000
Ce1 Ce 0.0000 0.0000 0.5000
Be1 Be 0.2500 0.2500 0.2500
Al1 Al 0.2500 0.2500 0.7500